[1]
Compound: AgI3F
Source: Alexandria via LeMat-Bulk
Functional: SCAN
Structure: PBEsol geometry

Cell lengths 5.4646, 5.4646, 5.4646 Å; angles 90.00, 90.00, 90.00 degrees
Last column: nearest neighbours and their distance in Å.
Space group Pm-3m (No. 221)
Inequivalent atoms, fractional coordinates:
Ag 0.0000 0.0000 0.0000 [1 per cell]  6 I 2.73
I 0.0000 0.0000 0.5000 [3 per cell]  2 Ag 2.73
F 0.5000 0.5000 0.5000 [1 per cell]  12 I 3.86


[2]
Compound: Ag2PIF
Source: Alexandria via LeMat-Bulk
Functional: SCAN
Structure: PBEsol geometry

Cell lengths 5.2822, 5.2822, 4.3708 Å; angles 90.00, 90.00, 90.00 degrees
Last column: nearest neighbours and their distance in Å.
Space group P4/mmm (No. 123)
Inequivalent atoms, fractional coordinates:
Ag 0.0000 0.5000 0.0000 [2 per cell]  2 I 2.64
P 0.0000 0.0000 0.5000 [1 per cell]  8 Ag 3.43, 4 F 3.74
I 0.5000 0.5000 0.0000 [1 per cell]  2 F 2.19
F 0.5000 0.5000 0.5000 [1 per cell]  2 I 2.19


For each record above, in turn, the calculated uncorrected energy values are -28.81, -22.10 eV per atom.